Density functional theory data (GGA-PBE) for a geometry-optimized TaAlS2Cl structure.

Results
Its density of states at the Fermi level is 4.09 states/eV per cell. The value obtained for the energy is -4.894 eV/atom. Its formation energy without anion corrections is 118 kJ/mol of formula units. Its distance to the lowest polymorph of the same formula is 642 meV/atom. As for the space group: P4/mmm, No. 123.

Lattice parameters (Å, degrees): 4.6489 4.6489 4.4188 90.00 90.00 90.00
Fractional positions:
Ta: 0.0000 0.0000 0.0000
Al: 0.5000 0.5000 0.5000
S: 0.0000 0.5000 0.5000
S: 0.5000 0.0000 0.5000
Cl: 0.5000 0.5000 0.0000

---

Density functional theory data (GGA-PBE) for a geometry-optimized SmTmScTl structure.

Results
Its density of states at the Fermi level is 4.86 states/eV per cell. The value obtained for the energy is -4.642 eV/atom. Its distance to the lowest polymorph of the same formula is 0 meV/atom. As for the space group: Pmmm, No. 47.

Lattice parameters (Å, degrees): 4.7385 4.7516 4.8005 90.00 90.00 90.00
Fractional positions:
Sm: 0.0000 0.0000 0.0000
Tm: 0.5000 0.0000 0.5000
Sc: 0.5000 0.5000 0.0000
Tl: 0.0000 0.5000 0.5000

---

Density functional theory data (GGA-PBE) for a geometry-optimized KGeSb structure.

Results
The value obtained for the energy is -3.515 eV/atom. Its formation energy without anion corrections is -68 kJ/mol of formula units. As for the space group: Imm2, No. 44.

Lattice parameters (Å, degrees): 6.3379 6.6706 9.2545 90.00 90.00 90.00
Fractional positions:
K: 0.0000 0.0000 0.0000
K: 0.0000 0.5000 0.2596
K: 0.5000 0.0000 0.7596
K: 0.5000 0.5000 0.5000
Ge: 0.0000 0.3016 0.6606
Ge: 0.0000 0.6984 0.6606
Ge: 0.5000 0.1984 0.1606
Ge: 0.5000 0.8016 0.1606
Sb: 0.2310 0.5000 0.8755
Sb: 0.2690 0.0000 0.3755
Sb: 0.7310 0.0000 0.3755
Sb: 0.7690 0.5000 0.8755

---

Density functional theory data (GGA-PBE) for a geometry-optimized SnGeBr2 structure.

Results
Its density of states at the Fermi level is 15.72 states/eV per cell. The value obtained for the energy is -2.915 eV/atom. Its formation energy without anion corrections is 29 kJ/mol of formula units. Its distance to the lowest polymorph of the same formula is 189 meV/atom. As for the space group: Fm-3m, No. 225.

Lattice parameters (Å, degrees): 7.4745 7.4745 7.4745 90.00 90.00 90.00
Fractional positions:
Sn: 0.0000 0.0000 0.0000
Sn: 0.0000 0.5000 0.5000
Sn: 0.5000 0.0000 0.5000
Sn: 0.5000 0.5000 0.0000
Ge: 0.0000 0.0000 0.5000
Ge: 0.0000 0.5000 0.0000
Ge: 0.5000 0.0000 0.0000
Ge: 0.5000 0.5000 0.5000
Br: 0.2500 0.2500 0.2500
Br: 0.2500 0.2500 0.7500
Br: 0.2500 0.7500 0.2500
Br: 0.2500 0.7500 0.7500
Br: 0.7500 0.2500 0.2500
Br: 0.7500 0.2500 0.7500
Br: 0.7500 0.7500 0.2500
Br: 0.7500 0.7500 0.7500

---

Density functional theory data (GGA-PBE) for a geometry-optimized Ho2SiSbRh6 structure.

Results
Its density of states at the Fermi level is 7.36 states/eV per cell. The value obtained for the energy is -6.808 eV/atom. Its formation energy without anion corrections is -508 kJ/mol of formula units. As for the space group: R-3m, No. 166.

Lattice parameters (Å, degrees): 7.3181 7.3181 7.3181 49.35 49.35 49.35
Fractional positions:
Ho: 0.2341 0.2341 0.2341
Ho: 0.7659 0.7659 0.7659
Si: 0.5000 0.5000 0.5000
Sb: 0.0000 0.0000 0.0000
Rh: 0.1885 0.7428 0.7428
Rh: 0.2572 0.2572 0.8115
Rh: 0.2572 0.8115 0.2572
Rh: 0.7428 0.1885 0.7428
Rh: 0.7428 0.7428 0.1885
Rh: 0.8115 0.2572 0.2572

---

Density functional theory data (GGA-PBE) for a geometry-optimized RbPd3Br structure.

Results
Its density of states at the Fermi level is 10.24 states/eV per cell. The value obtained for the energy is -2.367 eV/atom. Its formation energy without anion corrections is 616 kJ/mol of formula units. Its distance to the lowest polymorph of the same formula is 1069 meV/atom. As for the space group: Pm-3m, No. 221.

Lattice parameters (Å, degrees): 5.2559 5.2559 5.2559 90.00 90.00 90.00
Fractional positions:
Rb: 0.0000 0.0000 0.0000
Pd: 0.0000 0.0000 0.5000
Pd: 0.0000 0.5000 0.0000
Pd: 0.5000 0.0000 0.0000
Br: 0.5000 0.5000 0.5000